! ZnFe4Pt | Alexandria via LeMat-Bulk | PBE-GGA | optimized geometry; values from VASP
! Energy relative to the elements ... 16.8 meV per atom
! Space-group type ... F-43m (216)
&SYSTEM
  ibrav = 0, nat = 6, ntyp = 3
/
ATOMIC_SPECIES
Zn 65.41 Zn.upf
Fe 55.84 Fe.upf
Pt 195.08 Pt.upf
CELL_PARAMETERS angstrom
-2.0793 1.2278 4.1071
-2.8372 3.8231 0.1842
-4.7013 -0.5465 0.5467
ATOMIC_POSITIONS crystal
Zn 0.0000 0.0000 0.0000
Fe 0.8756 0.3748 0.3748
Fe 0.3748 0.3748 0.8756
Fe 0.3748 0.8756 0.3748
Fe 0.3748 0.3748 0.3748
Pt 0.7500 0.7500 0.7500